# 1
DFT (PBE-GGA) results for Bi2H3Pd8Pb after structural relaxation.

```
Bi2H3Pd8Pb
1.0
-4.673 -2.377 2.677
0.752 -4.421 3.814
-0.661 2.461 7.581
Bi H Pd Pb
2 3 8 1
Cartesian
-0.964 0.266 5.078
-2.294 -2.171 7.043
-1.565 -5.453 5.328
-4.273 -4.433 4.761
-1.940 -3.257 3.401
-1.201 -1.526 2.986
-3.390 -2.880 11.002
-1.433 0.508 7.751
-3.741 -0.674 9.078
-1.067 -1.681 9.638
-3.532 -2.728 4.324
-0.837 -3.744 4.889
-3.167 -4.938 6.237
-3.628 -4.630 8.989
```

Output
* space-group type: No. 8
* final energy: -64.6 eV per cell
* V: 217 Å³ per cell

# 2
DFT (PBE-GGA) results for BiHPd6Pb2 after structural relaxation.

```
BiHPd6Pb2
1.0
-1.891 -5.891 -1.710
6.064 -0.935 -4.100
2.919 -4.494 0.913
Bi H Pd Pb
1 1 6 2
Cartesian
0.000 0.000 0.000
2.087 -3.413 -2.905
2.947 -4.550 -1.797
5.882 -8.923 -3.769
3.734 -1.997 -2.723
3.359 -9.322 -2.174
1.210 -2.396 -1.128
4.145 -6.769 -3.100
1.592 -7.018 -1.683
5.500 -4.302 -3.214
```

Output
* space-group type: No. 2
* final energy: -47.5 eV per cell
* V: 182 Å³ per cell